The following is a DFT calculation (PBE with a Hubbard U) of crystalline Cs4CdNi3F12 at its relaxed geometry.

Cell and atoms, written as POSCAR:
```
Cs4CdNi3F12
1.0
-10.030 -3.868 -0.754
-7.447 -4.335 -6.471
-6.126 -8.623 -2.062
F Cd Cs Ni
12 1 4 3
Direct
0.307 0.784 0.784
0.174 0.597 0.597
0.597 0.174 0.597
0.784 0.784 0.307
0.784 0.307 0.784
0.403 0.826 0.403
0.693 0.216 0.216
0.403 0.403 0.826
0.216 0.693 0.216
0.826 0.403 0.403
0.216 0.216 0.693
0.597 0.597 0.174
0.000 0.000 0.000
0.870 0.870 0.870
0.285 0.285 0.285
0.130 0.130 0.130
0.715 0.715 0.715
0.590 0.590 0.590
0.410 0.410 0.410
0.500 0.500 0.500
```

Calculated values
The total energy comes out at -4.181 eV/atom. As for the spin magnetization: 5.93 μB per cell. As for the space group: R-3m.